# 1
Density functional theory data (PBE-GGA) for an optimized crystal structure of Rb3CdCu2Cl6.

Cell lengths 7.719, 7.719, 8.509 Å; angles 90.00, 90.00, 120.00 degrees
Element x y z (fractional)
Rb (0.000, 0.000, 0.000)
Rb (0.333, 0.667, 0.661)
Rb (0.667, 0.333, 0.339)
Cd (0.000, 0.000, 0.500)
Cu (0.333, 0.667, 0.255)
Cu (0.667, 0.333, 0.745)
Cl (0.168, 0.336, 0.281)
Cl (0.168, 0.832, 0.281)
Cl (0.336, 0.168, 0.719)
Cl (0.664, 0.832, 0.281)
Cl (0.832, 0.168, 0.719)
Cl (0.832, 0.664, 0.719)

ρ: 2.68 g/cm3
V: 439 Å³ per cell
E_form (uncorrected): -1.12 eV/atom
Total moment: 0.00 Bohr magnetons per cell



# 2
Density functional theory data (PBE-GGA) for an optimized crystal structure of Rb3Cd2CuCl9.

Cell lengths 7.288, 7.288, 8.959 Å; angles 90.00, 90.00, 120.00 degrees
Element x y z (fractional)
Rb (0.000, 0.000, 0.000)
Rb (0.333, 0.667, 0.665)
Rb (0.667, 0.333, 0.335)
Cd (0.333, 0.667, 0.177)
Cd (0.667, 0.333, 0.823)
Cu (0.000, 0.000, 0.500)
Cl (0.000, 0.500, 0.000)
Cl (0.160, 0.320, 0.343)
Cl (0.160, 0.840, 0.343)
Cl (0.320, 0.160, 0.657)
Cl (0.500, 0.000, 0.000)
Cl (0.500, 0.500, 0.000)
Cl (0.680, 0.840, 0.343)
Cl (0.840, 0.160, 0.657)
Cl (0.840, 0.680, 0.657)

ρ: 3.48 g/cm3
V: 412 Å³ per cell
E_form (uncorrected): -1.30 eV/atom
Total moment: 1.03 Bohr magnetons per cell



# 3
Density functional theory data (PBE-GGA) for an optimized crystal structure of RbCdCuCl6.

Cell lengths 6.601, 6.601, 7.303 Å; angles 90.00, 90.00, 120.00 degrees
Element x y z (fractional)
Rb (0.000, 0.000, 0.000)
Cd (0.333, 0.667, 0.500)
Cu (0.667, 0.333, 0.500)
Cl (0.389, 0.031, 0.694)
Cl (0.389, 0.359, 0.306)
Cl (0.641, 0.031, 0.306)
Cl (0.641, 0.611, 0.694)
Cl (0.969, 0.359, 0.694)
Cl (0.969, 0.611, 0.306)

ρ: 2.86 g/cm3
V: 276 Å³ per cell
E_form (uncorrected): -0.92 eV/atom
Total moment: 1.88 Bohr magnetons per cell



# 4
Density functional theory data (PBE-GGA) for an optimized crystal structure of Rb2CdCuCl5.

Cell lengths 9.913, 9.913, 13.306 Å; angles 90.00, 90.00, 156.24 degrees
Element x y z (fractional)
Rb (0.119, 0.881, 0.500)
Rb (0.126, 0.874, 0.117)
Rb (0.874, 0.126, 0.617)
Rb (0.881, 0.119, 0.000)
Cd (0.210, 0.790, 0.819)
Cd (0.790, 0.210, 0.319)
Cu (0.445, 0.555, 0.244)
Cu (0.555, 0.445, 0.744)
Cl (0.071, 0.929, 0.825)
Cl (0.291, 0.709, 0.453)
Cl (0.302, 0.698, 0.183)
Cl (0.343, 0.657, 0.810)
Cl (0.496, 0.504, 0.093)
Cl (0.504, 0.496, 0.593)
Cl (0.657, 0.343, 0.310)
Cl (0.698, 0.302, 0.683)
Cl (0.709, 0.291, 0.953)
Cl (0.929, 0.071, 0.325)

ρ: 3.30 g/cm3
V: 527 Å³ per cell
E_form (uncorrected): -1.33 eV/atom
Total moment: 0.00 Bohr magnetons per cell



# 5
Density functional theory data (PBE-GGA) for an optimized crystal structure of RbCdCu2Cl8.

Cell lengths 6.472, 6.472, 9.194 Å; angles 90.00, 90.00, 120.00 degrees
Element x y z (fractional)
Rb (0.000, 0.000, 0.000)
Cd (0.000, 0.000, 0.500)
Cu (0.333, 0.667, 0.733)
Cu (0.667, 0.333, 0.267)
Cl (0.000, 0.326, 0.676)
Cl (0.000, 0.674, 0.324)
Cl (0.326, 0.000, 0.676)
Cl (0.326, 0.326, 0.324)
Cl (0.333, 0.667, 0.973)
Cl (0.667, 0.333, 0.027)
Cl (0.674, 0.000, 0.324)
Cl (0.674, 0.674, 0.676)

ρ: 3.03 g/cm3
V: 333 Å³ per cell
E_form (uncorrected): -0.77 eV/atom
Total moment: 3.11 Bohr magnetons per cell



# 6
Density functional theory data (PBE-GGA) for an optimized crystal structure of CdCuSCl2.

Cell lengths 4.526, 4.526, 5.114 Å; angles 90.00, 90.00, 90.00 degrees
Element x y z (fractional)
Cd (0.000, 0.000, 0.000)
Cu (0.500, 0.500, 0.500)
S (0.500, 0.500, 0.000)
Cl (0.000, 0.500, 0.500)
Cl (0.500, 0.000, 0.500)

ρ: 4.42 g/cm3
Offset from the most stable computed form: 0.00 eV per formula unit
V: 105 Å³ per cell
E_form (uncorrected): -0.14 eV/atom
Total moment: 0.00 Bohr magnetons per cell



# 7
Density functional theory data (PBE-GGA) for an optimized crystal structure of CdCuSCl2.

Cell lengths 5.138, 5.138, 5.121 Å; angles 90.00, 90.00, 90.00 degrees
Element x y z (fractional)
Cd (0.000, 0.000, 0.000)
Cu (0.500, 0.500, 0.500)
S (0.000, 0.000, 0.500)
Cl (0.000, 0.500, 0.000)
Cl (0.500, 0.000, 0.000)

ρ: 3.43 g/cm3
Offset from the most stable computed form: 1.88 eV per formula unit
V: 135 Å³ per cell
E_form (uncorrected): 0.24 eV/atom
Total moment: 0.92 Bohr magnetons per cell



# 8
Density functional theory data (PBE-GGA) for an optimized crystal structure of CdCu2SeCl.

Cell lengths 5.118, 5.118, 4.953 Å; angles 90.00, 90.00, 90.00 degrees
Element x y z (fractional)
Cd (0.000, 0.000, 0.000)
Cu (0.000, 0.500, 0.000)
Cu (0.500, 0.000, 0.000)
Se (0.000, 0.000, 0.500)
Cl (0.500, 0.500, 0.500)

ρ: 4.53 g/cm3
V: 130 Å³ per cell
E_form (uncorrected): 0.74 eV/atom
Total moment: 0.00 Bohr magnetons per cell